Compound: Y2MnSe4
Source: the Alexandria database
Functional: PBE
Structure: optimized geometry

Uncorrected formation energy: -1466 meV per atom

Geometry as POSCAR:
```
Y2MnSe4
1.0
0.000 5.807 5.807
5.807 0.000 5.807
5.807 5.807 0.000
Y Mn Se
4 2 8
Direct
0.000 0.000 0.000
0.000 0.000 0.500
0.000 0.500 0.000
0.500 0.000 0.000
0.375 0.375 0.375
0.625 0.625 0.625
0.242 0.753 0.753
0.247 0.247 0.247
0.247 0.247 0.758
0.247 0.758 0.247
0.753 0.242 0.753
0.753 0.753 0.242
0.753 0.753 0.753
0.758 0.247 0.247
```

---

Compound: La2NdTc2N6
Source: the Alexandria database
Functional: PBE
Structure: optimized geometry

Uncorrected formation energy: -670 meV per atom

Geometry as POSCAR:
```
La2NdTc2N6
1.0
2.908 1.679 6.219
-2.908 1.679 6.219
0.000 -3.357 6.219
La Nd Tc N
2 1 2 6
Direct
0.208 0.208 0.208
0.792 0.792 0.792
0.000 0.000 0.000
0.404 0.404 0.404
0.596 0.596 0.596
0.227 0.737 0.737
0.263 0.263 0.773
0.263 0.773 0.263
0.737 0.227 0.737
0.737 0.737 0.227
0.773 0.263 0.263
```

---

Compound: Ca5In4Ga
Source: the Alexandria database
Functional: PBE
Structure: optimized geometry

Energy relative to the elements: -0.46 eV/atom

Geometry as POSCAR:
```
Ca5In4Ga
1.0
3.842 0.000 0.000
0.000 3.842 0.000
0.000 0.000 18.935
Ca In Ga
5 4 1
Direct
0.000 0.000 0.000
0.000 0.000 0.204
0.000 0.000 0.408
0.000 0.000 0.592
0.000 0.000 0.796
0.500 0.500 0.102
0.500 0.500 0.306
0.500 0.500 0.694
0.500 0.500 0.898
0.500 0.500 0.500
```